Below is a relaxed structure of MgZrSe, with properties calculated at the PBE level.

Results
N(E_F)	2.29	states/eV/f.u.
spin magnetization	0.0	μB per cell
final energy	-5.164	eV per atom
mass density	4.953	Mg/m³

Cell and atoms, written as CIF:
```
data_MgZrSe
_space_group_name_H-M_alt 'I 4 m m'
_space_group_IT_number 107
_space_group_name_Hall 'I 4 -2'
_cell_length_a 3.414
_cell_length_b 3.414
_cell_length_c 11.188
_cell_angle_alpha 90.00
_cell_angle_beta 90.00
_cell_angle_gamma 90.00
loop_
_atom_site_label
_atom_site_type_symbol
_atom_site_fract_x
_atom_site_fract_y
_atom_site_fract_z
Mg1 Mg 0.000 0.000 0.000
Zr1 Zr 0.000 0.000 0.307
Se1 Se 0.000 0.000 0.687
```